Computed, not measured: a relaxed structure of BaCdCu4 at the PBE level of DFT.

a b c (Å): 5.375 5.375 5.375
angles (deg): 60.00 60.00 60.00
Fractional positions:
Ba  0.000  0.000  0.000
Cd  0.750  0.750  0.750
Cu  0.378  0.378  0.378
Cu  0.378  0.378  0.864
Cu  0.378  0.864  0.378
Cu  0.864  0.378  0.378

## Properties
density of states at the Fermi level = 0.898 states/eV per atom
energy of formation from the pure elements = 0.07 eV/atom
SG = No. 216

=====

Computed, not measured: a relaxed structure of Ba2CdCu2 at the PBE level of DFT.

a b c (Å): 10.573 10.573 10.573
angles (deg): 159.37 159.37 29.34
Fractional positions:
Ba  0.118  0.118  0.000
Ba  0.882  0.882  0.000
Cd  0.500  0.500  0.000
Cu  0.250  0.750  0.500
Cu  0.750  0.250  0.500

## Properties
density of states at the Fermi level = 0.701 states/eV per atom
energy of formation from the pure elements = 0.07 eV/atom
SG = No. 139

=====

Computed, not measured: a relaxed structure of BaCd2Cu at the PBE level of DFT.

a b c (Å): 4.616 4.616 5.440
angles (deg): 90.00 90.00 90.00
Fractional positions:
Ba  0.000  0.000  0.000
Cd  0.000  0.500  0.500
Cd  0.500  0.000  0.500
Cu  0.500  0.500  0.000

## Properties
density of states at the Fermi level = 0.649 states/eV per atom
energy of formation from the pure elements = 0.06 eV/atom
SG = No. 123

=====

Computed, not measured: a relaxed structure of BaCd2Cu at the PBE level of DFT.

a b c (Å): 6.053 6.053 6.053
angles (deg): 133.78 133.78 67.43
Fractional positions:
Ba  0.000  0.000  0.000
Cd  0.250  0.750  0.500
Cd  0.750  0.250  0.500
Cu  0.500  0.500  0.000

## Properties
density of states at the Fermi level = 0.411 states/eV per atom
energy of formation from the pure elements = 0.06 eV/atom
SG = No. 139

=====

Computed, not measured: a relaxed structure of BaCd3Cu at the PBE level of DFT.

a b c (Å): 5.177 5.177 5.177
angles (deg): 90.00 90.00 90.00
Fractional positions:
Ba  0.000  0.000  0.000
Cd  0.000  0.500  0.500
Cd  0.500  0.000  0.500
Cd  0.500  0.500  0.000
Cu  0.500  0.500  0.500

## Properties
density of states at the Fermi level = 0.729 states/eV per atom
offset from the most stable computed form = 40 meV per atom
energy of formation from the pure elements = -0.13 eV/atom
SG = No. 221

=====

Computed, not measured: a relaxed structure of Ba4Cd2Cu at the PBE level of DFT.

a b c (Å): 10.561 10.561 10.561
angles (deg): 147.38 147.38 46.81
Fractional positions:
Ba  0.000  0.500  0.500
Ba  0.184  0.184  0.000
Ba  0.500  0.000  0.500
Ba  0.816  0.816  0.000
Cd  0.365  0.365  0.000
Cd  0.635  0.635  0.000
Cu  0.500  0.500  0.000

## Properties
density of states at the Fermi level = 1.476 states/eV per atom
energy of formation from the pure elements = 0.01 eV/atom
SG = No. 139

=====

Computed, not measured: a relaxed structure of Ba2Cd2Cu at the PBE level of DFT.

a b c (Å): 10.453 10.453 10.453
angles (deg): 157.06 157.06 32.66
Fractional positions:
Ba  0.094  0.094  0.000
Ba  0.906  0.906  0.000
Cd  0.250  0.750  0.500
Cd  0.750  0.250  0.500
Cu  0.500  0.500  0.000

## Properties
density of states at the Fermi level = 0.936 states/eV per atom
offset from the most stable computed form = 0 meV per atom
energy of formation from the pure elements = -0.03 eV/atom
SG = No. 139

=====

Computed, not measured: a relaxed structure of Ba6Cd5Cu at the PBE level of DFT.

a b c (Å): 9.493 9.493 8.390
angles (deg): 90.00 90.00 143.18
Fractional positions:
Ba  0.000  0.000  0.241
Ba  0.000  0.000  0.759
Ba  0.339  0.661  0.246
Ba  0.339  0.661  0.754
Ba  0.661  0.339  0.246
Ba  0.661  0.339  0.754
Cd  0.168  0.832  0.500
Cd  0.174  0.826  0.000
Cd  0.500  0.500  0.500
Cd  0.826  0.174  0.000
Cd  0.832  0.168  0.500
Cu  0.500  0.500  0.000

## Properties
density of states at the Fermi level = 0.918 states/eV per atom
energy of formation from the pure elements = -0.24 eV/atom
SG = No. 65